Material: BaSr2Tc
Method: DFT, GGA-PBEsol
State: relaxed

Properties
DFT total energy = -14.267 eV/cell
Relative energy among the computed polymorphs = 0.000 eV/atom

abc: 3.739 3.739 10.348
angles: 90.00 90.02 90.00
Space group Pm (No. 6)
Unique sites:
Ba (0.000, 0.000, 0.000)
Sr (0.502, 0.500, 0.671)
Sr (0.999, 0.000, 0.352)
Tc (0.499, 0.500, 0.179)